1.
# LiInN2F

LiInN2F after structural relaxation (PBE, the Alexandria database).

CIF file:
```
data_LiInN2F
_chemical_formula_sum 'Li1 In1 N2 F1'
_symmetry_space_group_name_H-M 'P 1'
_symmetry_Int_Tables_number 1
_symmetry_space_group_name_Hall 'P 1'
_cell_length_a 4.065
_cell_length_b 4.065
_cell_length_c 3.499
_cell_angle_alpha 90.00
_cell_angle_beta 90.00
_cell_angle_gamma 90.00
loop_
_atom_site_label
_atom_site_type_symbol
_atom_site_fract_x
_atom_site_fract_y
_atom_site_fract_z
_atom_site_occupancy
N1 N 0.000 0.500 0.000 1
In1 In 0.500 0.500 0.500 1
N2 N 0.500 0.000 0.000 1
Li1 Li 0.000 0.000 0.000 1
F1 F 0.000 0.000 0.500 1
```

## Properties
Formation energy (no corrections) ... 50.7 kJ per mole of atoms
Space group ... P4/mmm (123)


2.
# NaTlF2

NaTlF2 after structural relaxation (PBE, the Alexandria database).

CIF file:
```
data_NaTlF2
_chemical_formula_sum 'Na1 Tl1 F2'
_symmetry_space_group_name_H-M 'P 1'
_symmetry_Int_Tables_number 1
_symmetry_space_group_name_Hall 'P 1'
_cell_length_a 3.261
_cell_length_b 4.565
_cell_length_c 4.565
_cell_angle_alpha 90.00
_cell_angle_beta 90.00
_cell_angle_gamma 90.00
loop_
_atom_site_label
_atom_site_type_symbol
_atom_site_fract_x
_atom_site_fract_y
_atom_site_fract_z
_atom_site_occupancy
F1 F 0.000 0.500 0.000 1
Na1 Na 0.500 0.500 0.500 1
Tl1 Tl 0.500 0.000 0.000 1
F2 F 0.000 0.000 0.500 1
```

## Properties
Formation energy (no corrections) ... -192.7 kJ per mole of atoms
Space group ... P4/mmm (123)


3.
# B2C

B2C after structural relaxation (PBE, the Alexandria database).

CIF file:
```
data_B2C
_chemical_formula_sum 'B8 C4'
_symmetry_space_group_name_H-M 'P 1'
_symmetry_Int_Tables_number 1
_symmetry_space_group_name_Hall 'P 1'
_cell_length_a 2.728
_cell_length_b 2.728
_cell_length_c 12.041
_cell_angle_alpha 90.00
_cell_angle_beta 90.00
_cell_angle_gamma 90.00
loop_
_atom_site_label
_atom_site_type_symbol
_atom_site_fract_x
_atom_site_fract_y
_atom_site_fract_z
_atom_site_occupancy
C1 C 0.500 0.000 0.421 1
B1 B 0.500 0.000 0.763 1
B2 B 0.000 0.000 0.634 1
C2 C 0.500 0.500 0.821 1
C3 C 0.000 0.500 0.579 1
B3 B 0.500 0.000 0.108 1
B4 B 0.500 0.500 0.500 1
B5 B 0.000 0.000 0.366 1
C4 C 0.500 0.500 0.179 1
B6 B 0.000 0.500 0.892 1
B7 B 0.000 0.000 0.000 1
B8 B 0.000 0.500 0.237 1
```

## Properties
Space group ... P-4m2 (115)
Formation energy ... 0.392 eV per atom


4.
# YBeAu3

YBeAu3 after structural relaxation (PBE, the Alexandria database).

CIF file:
```
data_YBeAu3
_chemical_formula_sum 'Y2 Be2 Au6'
_symmetry_space_group_name_H-M 'P 1'
_symmetry_Int_Tables_number 1
_symmetry_space_group_name_Hall 'P 1'
_cell_length_a 4.822
_cell_length_b 4.822
_cell_length_c 9.268
_cell_angle_alpha 90.00
_cell_angle_beta 90.00
_cell_angle_gamma 120.00
loop_
_atom_site_label
_atom_site_type_symbol
_atom_site_fract_x
_atom_site_fract_y
_atom_site_fract_z
_atom_site_occupancy
Be1 Be 0.000 0.000 0.000 1
Au1 Au 0.667 0.333 0.921 1
Y1 Y 0.333 0.667 0.750 1
Be2 Be 0.000 0.000 0.500 1
Y2 Y 0.667 0.333 0.250 1
Au2 Au 0.000 0.000 0.750 1
Au3 Au 0.333 0.667 0.079 1
Au4 Au 0.000 0.000 0.250 1
Au5 Au 0.333 0.667 0.421 1
Au6 Au 0.667 0.333 0.579 1
```

## Properties
Space group ... P6_3/mmc (194)
Formation energy ... -0.425 eV per atom